Sr2TaTc | PBE-GGA | optimized geometry

Results
Its electronic total energy is -5.2884 eV/atom. The calculation puts the excess energy over the best structure of this formula in the dataset at 0.778 eV/atom. As for the total moment: 0.0 μB/f.u.

```
data_Sr2TaTc
_symmetry_space_group_name_H-M 'C 1 2/m 1'
_symmetry_Int_Tables_number 12
_cell_length_a 5.8660
_cell_length_b 10.8461
_cell_length_c 2.9664
_cell_angle_alpha 90.00
_cell_angle_beta 90.57
_cell_angle_gamma 90.00
loop_
_symmetry_equiv_pos_as_xyz
'x,y,z'
'-x,-y,-z'
'-x,y,-z'
'x,-y,z'
'x+1/2,y+1/2,z'
'-x+1/2,-y+1/2,-z'
'-x+1/2,y+1/2,-z'
'x+1/2,-y+1/2,z'
loop_
_atom_site_label
_atom_site_fract_x
_atom_site_fract_y
_atom_site_fract_z
Sr1 0.2500 0.2500 0.0000
Ta1 0.0000 0.0000 0.5000
Tc1 0.0000 0.5000 0.5000
```